#A
The following is a DFT calculation (PBE) of an optimized crystal structure of Ho2HfAl.

```
data_Ho2HfAl
_symmetry_space_group_name_H-M 'P 4/m m m'
_symmetry_Int_Tables_number 123
_symmetry_space_group_name_Hall '-P 4 2'
_cell_length_a 4.558
_cell_length_b 4.558
_cell_length_c 4.610
_cell_angle_alpha 90.00
_cell_angle_beta 90.00
_cell_angle_gamma 90.00
loop_
_atom_site_label
_atom_site_fract_x
_atom_site_fract_y
_atom_site_fract_z
Ho1 0.000 0.500 0.000
Hf1 0.000 0.000 0.500
Al1 0.500 0.500 0.500
```

Theoretical density in kg/m³: 9280
Total moment in μB per formula unit: 0.000

#B
The following is a DFT calculation (PBE) of an optimized crystal structure of Ho2HfAl.

```
data_Ho2HfAl
_symmetry_space_group_name_H-M 'R -3 m'
_symmetry_Int_Tables_number 166
_symmetry_space_group_name_Hall '-R 3 2"'
_cell_length_a 3.2543
_cell_length_b 3.2543
_cell_length_c 33.7540
_cell_angle_alpha 90.00
_cell_angle_beta 90.00
_cell_angle_gamma 120.00
loop_
_atom_site_label
_atom_site_fract_x
_atom_site_fract_y
_atom_site_fract_z
Ho1 0.0000 0.0000 0.0956
Hf1 0.0000 0.0000 0.0000
Al1 0.0000 0.0000 0.5000
```

Theoretical density in kg/m³: 8614
Total moment in μB per formula unit: 0.000

Quick one: least stable of them? #B

#A
The following is a DFT calculation (PBE) of an optimized crystal structure of HfAlI2.

```
data_HfAlI2
_symmetry_space_group_name_H-M 'I -4 2 d'
_symmetry_Int_Tables_number 122
_symmetry_space_group_name_Hall 'I -4 2bw'
_cell_length_a 10.318
_cell_length_b 10.318
_cell_length_c 5.573
_cell_angle_alpha 90.00
_cell_angle_beta 90.00
_cell_angle_gamma 90.00
loop_
_atom_site_label
_atom_site_fract_x
_atom_site_fract_y
_atom_site_fract_z
Hf1 0.000 0.000 0.000
Al1 0.000 0.000 0.500
I1 0.099 0.250 0.125
```

Theoretical density in kg/m³: 5142
Total moment in μB per formula unit: 0.000

#B
The following is a DFT calculation (PBE) of an optimized crystal structure of HfAlI2.

```
data_HfAlI2
_symmetry_space_group_name_H-M 'F m -3 m'
_symmetry_Int_Tables_number 225
_symmetry_space_group_name_Hall '-F 4 2 3'
_cell_length_a 7.278
_cell_length_b 7.278
_cell_length_c 7.278
_cell_angle_alpha 90.00
_cell_angle_beta 90.00
_cell_angle_gamma 90.00
loop_
_atom_site_label
_atom_site_fract_x
_atom_site_fract_y
_atom_site_fract_z
Hf1 0.000 0.000 0.000
Al1 0.000 0.000 0.500
I1 0.250 0.250 0.250
```

Theoretical density in kg/m³: 7913
Total moment in μB per formula unit: 0.000

Quick one: least stable of them? #B